A plane-wave DFT calculation with PBE-GGA was carried out for an optimized crystal structure of KYNiTe3.

Unit cell a=9.6824 b=4.2768 c=10.1693 alpha=90.00 beta=109.86 gamma=90.00
Fractional coordinates of all 12 atoms:
K 0.7126 0.2500 0.7559
K 0.2874 0.7500 0.2442
Te 0.9669 0.7500 0.6792
Te 0.4001 0.7500 0.6286
Te 0.5999 0.2500 0.3714
Te 0.6706 0.7500 0.0327
Te 0.0331 0.2500 0.3208
Te 0.3294 0.2500 0.9673
Ni 0.5965 0.2500 0.1218
Ni 0.4035 0.7500 0.8782
Y 0.8223 0.7500 0.3619
Y 0.1777 0.2500 0.6381

crystal system	monoclinic
final energy	-4.68	eV per atom
polymorph energy (0 for the lowest one)	0.0	kJ per mole of atoms